DFT (PBE) results for a geometry-optimized Sr5H2Pb2 structure.

a b c (Å): 13.3016 5.5229 7.6475
angles (deg): 90.00 102.10 90.00
Space group C2/m (No. 12)
Asymmetric unit:
1 Sr 0.0000 0.0000 0.0000 [2 per cell]
2 Sr 0.1481 0.0000 0.5397 [4 per cell]
3 Sr 0.1753 0.5000 0.8696 [4 per cell]
4 H 0.1615 0.0000 0.8801 [4 per cell]
5 Pb 0.0938 0.5000 0.2856 [4 per cell]

Results
DFT total energy = -0.1081 Ha/atom
Volume = 549.3 Å³ per cell

***

DFT (PBE) results for a geometry-optimized RbSn3Ge2 structure.

a b c (Å): 25.5327 4.3077 6.8824
angles (deg): 90.00 99.83 90.00
Space group C2/m (No. 12)
Asymmetric unit:
1 Rb 0.1034 0.0000 0.2053 [4 per cell]
2 Sn 0.0466 0.0000 0.6673 [4 per cell]
3 Sn 0.2067 0.5000 0.0174 [4 per cell]
4 Sn 0.2073 0.5000 0.5115 [4 per cell]
5 Ge 0.0128 0.5000 0.8431 [4 per cell]
6 Ge 0.1635 0.0000 0.7334 [4 per cell]

Results
Volume = 745.9 Å³ per cell
E_form = 0.036 eV per atom